[1]
## Sr3Ge8Rh3 (PBE)

Data for Sr3Ge8Rh3 after structural relaxation.

Cell: 4.4315 8.3907 8.3907 Å, 75.21 74.69 74.69°
Element x y z (fractional)
Sr 0.5000 0.5000 0.5000
Sr 0.8210 0.1790 0.1790
Sr 0.1790 0.8210 0.8210
Ge 0.3824 0.3262 0.9090
Ge 0.3824 0.9090 0.3262
Ge 0.1664 0.2005 0.4668
Ge 0.8336 0.7995 0.5332
Ge 0.8336 0.5332 0.7995
Ge 0.1664 0.4668 0.2005
Ge 0.6176 0.0910 0.6738
Ge 0.6176 0.6738 0.0910
Rh 0.0000 0.2274 0.7726
Rh 0.0000 0.7726 0.2274
Rh 0.5000 0.0000 0.0000

Calculated total energy   -70.2 eV per cell
Symmetry   Immm (71)
Total magnetic moment   0.00 μB/f.u.

[2]
## RbCo3W (PBE)

Data for RbCo3W after structural relaxation.

Cell: 4.3460 4.3460 4.3460 Å, 90.00 90.00 90.00°
Element x y z (fractional)
Co 0.0000 0.5000 0.0000
Co 0.5000 0.0000 0.0000
Co 0.0000 0.0000 0.5000
Rb 0.0000 0.0000 0.0000
W 0.5000 0.5000 0.5000

Calculated total energy   -20.2 eV per cell
Symmetry   Pm-3m (221)
Total magnetic moment   0.00 μB/f.u.

[3]
## La6ErAl (PBE)

Data for La6ErAl after structural relaxation.

Cell: 5.0709 5.0709 10.2790 Å, 90.00 90.00 90.00°
Element x y z (fractional)
La 0.5000 0.5000 0.0000
La 0.5000 0.5000 0.5000
La 0.0000 0.5000 0.7599
La 0.5000 0.0000 0.7599
La 0.0000 0.5000 0.2401
La 0.5000 0.0000 0.2401
Er 0.0000 0.0000 0.5000
Al 0.0000 0.0000 0.0000

Calculated total energy   -38.4 eV per cell
Symmetry   P4/mmm (123)
Total magnetic moment   0.00 μB/f.u.

[4]
## GaNiAgPt (PBE)

Data for GaNiAgPt after structural relaxation.

Cell: 4.3640 4.3640 4.3640 Å, 60.00 60.00 60.00°
Element x y z (fractional)
Ni 0.5000 0.5000 0.5000
Pt 0.7500 0.7500 0.7500
Ga 0.0000 0.0000 0.0000
Ag 0.2500 0.2500 0.2500

Calculated total energy   -18.4 eV per cell
Symmetry   F-43m (216)
Total magnetic moment   0.00 μB/f.u.

[5]
## LiScSnGe (PBE)

Data for LiScSnGe after structural relaxation.

Cell: 4.8604 4.8604 4.8604 Å, 60.00 60.00 60.00°
Element x y z (fractional)
Sc 0.0000 0.0000 0.0000
Li 0.5000 0.5000 0.5000
Sn 0.7500 0.7500 0.7500
Ge 0.2500 0.2500 0.2500

Calculated total energy   -18.2 eV per cell
Symmetry   F-43m (216)
Total magnetic moment   0.00 μB/f.u.

[6]
## HoCuPd6 (PBE)

Data for HoCuPd6 after structural relaxation.

Cell: 4.8692 4.8692 7.2763 Å, 72.79 72.79 65.77°
Element x y z (fractional)
Cu 0.0000 0.0000 0.0000
Pd 0.5573 0.0660 0.2947
Pd 0.9340 0.4427 0.7053
Pd 0.4427 0.9340 0.7053
Pd 0.6497 0.6497 0.0563
Pd 0.3503 0.3503 0.9437
Pd 0.0660 0.5573 0.2947
Ho 0.5000 0.5000 0.5000

Calculated total energy   -41.0 eV per cell
Symmetry   C2/m (12)
Total magnetic moment   0.00 μB/f.u.

[7]
## RbTb2Dy (PBE)

Data for RbTb2Dy after structural relaxation.

Cell: 3.6215 3.6215 13.4346 Å, 82.25 82.25 60.00°
Element x y z (fractional)
Tb 0.0962 0.0962 0.7115
Tb 0.9038 0.9038 0.2885
Rb 0.0000 0.0000 0.0000
Dy 0.5000 0.5000 0.5000

Calculated total energy   -13.7 eV per cell
Symmetry   R-3m (166)
Total magnetic moment   0.00 μB/f.u.

[8]
## TbNd2YSe6 (PBE)

Data for TbNd2YSe6 after structural relaxation.

Cell: 7.3642 7.3642 7.8005 Å, 61.82 61.82 60.00°
Element x y z (fractional)
Nd 0.5191 0.5191 0.4428
Nd 0.0188 0.0188 0.9437
Se 0.2069 0.9322 0.2565
Se 0.9323 0.6043 0.2565
Se 0.1055 0.4311 0.7566
Se 0.7069 0.1055 0.7566
Se 0.4310 0.7069 0.7565
Se 0.6043 0.2070 0.2565
Tb 0.8182 0.8183 0.5453
Y 0.3186 0.3186 0.0441

Symmetry   R3 (146)
Formation energy without anion corrections   -1.8491 eV/atom
Total magnetic moment   0.00 μB/f.u.

[9]
## Pd6SeS2 (PBE)

Data for Pd6SeS2 after structural relaxation.

Cell: 4.0383 6.6396 7.5747 Å, 64.54 74.54 72.30°
Element x y z (fractional)
S 0.8369 0.1262 0.2000
S 0.1631 0.8738 0.8000
Pd 0.0384 0.7781 0.1451
Pd 0.2812 0.3369 0.1007
Pd 0.9616 0.2219 0.8549
Pd 0.7188 0.6631 0.8993
Pd 0.6224 0.4150 0.3402
Pd 0.3776 0.5850 0.6598
Se 0.0000 0.5000 0.5000

Symmetry   C2/m (12)
Formation energy without anion corrections   -0.1408 eV/atom
Total magnetic moment   0.00 μB/f.u.

[10]
## La2ScInS (PBE)

Data for La2ScInS after structural relaxation.

Cell: 5.5354 5.5354 4.8539 Å, 90.00 90.00 90.00°
Element x y z (fractional)
La 0.0000 0.5000 0.0000
La 0.5000 0.0000 0.0000
Sc 0.0000 0.0000 0.5000
In 0.5000 0.5000 0.5000
S 0.0000 0.0000 0.0000

Symmetry   P4/mmm (123)
Formation energy without anion corrections   -0.9126 eV/atom
Total magnetic moment   0.00 μB/f.u.

[11]
## YBe2W (PBE)

Data for YBe2W after structural relaxation.

Cell: 6.7553 4.6030 2.8248 Å, 89.96 65.34 127.28°
Last column: magnetic moment on the atom in μB.
Element x y z (fractional)
Be 0.5000 0.0000 0.5000  0.00
Be 0.0000 0.0000 0.0000  0.00
W 0.0000 0.5000 0.5000  0.02
Y 0.5000 0.5000 0.0000  0.07

Calculated total energy   -25.3 eV per cell
Symmetry   Cmmm (65)
Total magnetic moment   0.12 μB/f.u.

[12]
## NdPaPdRh (PBE)

Data for NdPaPdRh after structural relaxation.

Cell: 4.9792 4.9792 4.9792 Å, 60.00 60.00 60.00°
Last column: magnetic moment on the atom in μB.
Element x y z (fractional)
Rh 0.5000 0.5000 0.5000  -0.03
Nd 0.2500 0.2500 0.2500  0.03
Pd 0.0000 0.0000 0.0000  -0.01
Pa 0.7500 0.7500 0.7500  0.32

Calculated total energy   -28.8 eV per cell
Symmetry   F-43m (216)
Total magnetic moment   0.37 μB/f.u.

Among the records above, which one has the highest total magnetic moment? NdPaPdRh

Please write out number 9 again, unchanged.
## Pd6SeS2 (PBE)

Data for Pd6SeS2 after structural relaxation.

Cell: 4.0383 6.6396 7.5747 Å, 64.54 74.54 72.30°
Element x y z (fractional)
S 0.8369 0.1262 0.2000
S 0.1631 0.8738 0.8000
Pd 0.0384 0.7781 0.1451
Pd 0.2812 0.3369 0.1007
Pd 0.9616 0.2219 0.8549
Pd 0.7188 0.6631 0.8993
Pd 0.6224 0.4150 0.3402
Pd 0.3776 0.5850 0.6598
Se 0.0000 0.5000 0.5000

Symmetry   C2/m (12)
Formation energy without anion corrections   -0.1408 eV/atom
Total magnetic moment   0.00 μB/f.u.

Number 4 is which compound? GaNiAgPt